5
Lattice="5.940 0.000 0.000 0.000 5.940 0.000 0.000 0.000 5.940" Properties=species:S:1:pos:R:3 comment="GGA-PBE Hg3BTe, relaxed" raw_formation_energy_ev_per_atom=1.29 relative_energy_mev_per_atom=722.5 pbc="T T T"
Hg 0.000 0.000 2.970
Hg 0.000 2.970 0.000
Hg 2.970 0.000 0.000
B 2.970 2.970 2.970
Te 0.000 0.000 0.000

***

3
Lattice="3.430 0.000 0.000 0.000 5.653 0.000 0.000 0.000 4.467" Properties=species:S:1:pos:R:3 comment="GGA-PBE TeBrF, relaxed" raw_formation_energy_ev_per_atom=-0.78 relative_energy_mev_per_atom=165.1 pbc="T T T"
Te 0.000 0.000 0.000
Br 0.000 2.827 4.402
F 0.000 0.000 2.404

***

9
Lattice="5.837 -3.580 0.000 5.837 3.580 0.000 -1.384 0.000 5.764" Properties=species:S:1:pos:R:3 comment="GGA-PBE Tl2SbCl4F2, relaxed" raw_formation_energy_ev_per_atom=-1.28 pbc="T T T"
Tl 1.720 0.000 1.743
Tl 8.570 0.000 4.021
Sb 5.837 0.000 0.000
Cl 4.468 1.845 1.099
Cl 5.822 1.845 4.665
Cl 4.468 -1.845 1.099
Cl 5.822 -1.845 4.665
F 3.146 0.000 4.171
F 7.144 0.000 1.594

***

20
Lattice="8.841 0.000 0.000 0.000 8.841 0.000 0.000 0.000 4.248" Properties=species:S:1:pos:R:3 comment="GGA-PBE TaTi5Al2Os2, relaxed" formation_energy_kcal_per_mol_atoms=-3.4 pbc="T T T"
Ta 0.000 0.000 0.000
Ta 4.421 4.421 0.000
Ti 0.000 4.421 2.124
Ti 0.758 1.757 2.124
Ti 1.757 8.083 2.124
Ti 2.663 3.662 2.124
Ti 3.662 6.178 2.124
Ti 4.421 0.000 2.124
Ti 5.179 2.663 2.124
Ti 6.178 5.179 2.124
Ti 7.084 0.758 2.124
Ti 8.083 7.084 2.124
Al 1.521 5.942 0.000
Al 2.899 1.521 0.000
Al 5.942 7.320 0.000
Al 7.320 2.899 0.000
Os 1.084 3.336 0.000
Os 3.336 7.757 0.000
Os 5.505 1.084 0.000
Os 7.757 5.505 0.000

***

8
Lattice="-3.656 3.656 2.656 3.656 -3.656 2.656 3.656 3.656 -2.656" Properties=species:S:1:pos:R:3 comment="GGA-PBE MgNb2Co, relaxed" formation_energy_kcal_per_mol_atoms=8.7 pbc="T T T"
Mg 0.000 0.000 0.000
Mg 0.000 3.656 1.328
Nb 1.828 -1.414 1.992
Nb 2.242 1.828 0.664
Nb 1.828 5.070 -0.664
Nb 1.414 1.828 3.320
Co 3.656 0.000 1.328
Co 0.000 0.000 2.656

***

10
Lattice="4.615 0.000 0.000 0.000 4.615 0.000 0.000 0.000 11.169" Properties=species:S:1:pos:R:3 comment="GGA-PBE Ac2ZnGa4Hg3, relaxed" formation_energy_kcal_per_mol_atoms=-9.2 pbc="T T T"
Ac 0.000 2.307 2.722
Ac 2.307 0.000 8.447
Zn 2.307 2.307 0.000
Ga 0.000 0.000 5.585
Ga 0.000 2.307 9.748
Ga 2.307 0.000 1.421
Ga 2.307 2.307 5.585
Hg 0.000 0.000 0.000
Hg 0.000 2.307 7.103
Hg 2.307 0.000 4.066